[1]
# V3CrTe6

A relaxed structure of V3CrTe6 (PBE-GGA, the Alexandria database).

The raw formation energy is -4.0 kcal/mol of atoms. As for the density of states at the Fermi level: 0.6860 states/eV per atom.

Unit cell a=10.794 b=3.836 c=12.107 alpha=90.00 beta=106.72 gamma=90.00
Element x y z (fractional)
V1 0.005 0.250 0.332
V2 0.387 0.750 0.477
V3 0.439 0.250 0.875
V4 0.561 0.750 0.125
V5 0.613 0.250 0.523
V6 0.995 0.750 0.668
Cr1 0.162 0.750 0.984
Cr2 0.838 0.250 0.016
Te1 0.009 0.750 0.138
Te2 0.127 0.750 0.489
Te3 0.255 0.750 0.800
Te4 0.261 0.250 0.325
Te5 0.365 0.250 0.078
Te6 0.437 0.250 0.639
Te7 0.563 0.750 0.361
Te8 0.635 0.750 0.922
Te9 0.739 0.750 0.675
Te10 0.745 0.250 0.200
Te11 0.873 0.250 0.511
Te12 0.991 0.250 0.862

***

[2]
# PmZnCdSi

A relaxed structure of PmZnCdSi (PBE-GGA, the Alexandria database).

The raw formation energy is -3.1 kcal/mol of atoms. As for the density of states at the Fermi level: 0.9557 states/eV per atom.

Unit cell a=4.934 b=4.934 c=4.934 alpha=60.00 beta=60.00 gamma=60.00
Element x y z (fractional)
Pm1 0.000 0.000 0.000
Zn1 0.750 0.750 0.750
Cd1 0.500 0.500 0.500
Si1 0.250 0.250 0.250

***

[3]
# In8Hg15I6

A relaxed structure of In8Hg15I6 (PBE-GGA, the Alexandria database).

The raw formation energy is -3.0 kcal/mol of atoms. As for the density of states at the Fermi level: 0.1855 states/eV per atom.

Unit cell a=9.044 b=11.367 c=12.038 alpha=110.65 beta=90.03 gamma=113.40
Element x y z (fractional)
In1 0.128 0.277 0.407
In2 0.353 0.725 0.595
In3 0.362 0.224 0.571
In4 0.366 0.231 0.053
In5 0.634 0.769 0.947
In6 0.638 0.776 0.429
In7 0.647 0.275 0.405
In8 0.872 0.723 0.593
Hg1 0.000 0.000 0.000
Hg2 0.000 0.000 0.500
Hg3 0.000 0.500 0.500
Hg4 0.122 0.747 0.354
Hg5 0.158 0.217 0.800
Hg6 0.212 0.926 0.776
Hg7 0.436 0.780 0.198
Hg8 0.500 0.000 0.000
Hg9 0.500 0.000 0.500
Hg10 0.500 0.500 0.000
Hg11 0.500 0.500 0.500
Hg12 0.564 0.220 0.802
Hg13 0.788 0.074 0.224
Hg14 0.842 0.783 0.200
Hg15 0.878 0.253 0.646
I1 0.208 0.421 0.223
I2 0.281 0.063 0.250
I3 0.287 0.579 0.777
I4 0.713 0.421 0.223
I5 0.719 0.937 0.750
I6 0.792 0.579 0.777

***

[4]
# TbUSe2S

A relaxed structure of TbUSe2S (PBE-GGA, the Alexandria database).

The raw formation energy is -33.4 kcal/mol of atoms. As for the density of states at the Fermi level: 1.7094 states/eV per atom.

Unit cell a=4.124 b=4.124 c=14.200 alpha=90.00 beta=90.00 gamma=90.00
Element x y z (fractional)
Tb1 0.250 0.250 0.098
Tb2 0.750 0.750 0.902
U1 0.250 0.250 0.625
U2 0.750 0.750 0.375
Se1 0.250 0.250 0.299
Se2 0.250 0.250 0.890
Se3 0.750 0.750 0.110
Se4 0.750 0.750 0.701
S1 0.250 0.750 0.500
S2 0.750 0.250 0.500

***

[5]
# Mg2Si2Pd7

A relaxed structure of Mg2Si2Pd7 (PBE-GGA, the Alexandria database).

The raw formation energy is -11.3 kcal/mol of atoms. As for the density of states at the Fermi level: 0.3051 states/eV per atom. The calculation puts the polymorph energy (0 for the lowest one) at 90 kJ/mol of formula units.

Unit cell a=5.804 b=5.804 c=5.627 alpha=90.00 beta=90.00 gamma=98.45
Element x y z (fractional)
Mg1 0.194 0.194 0.000
Mg2 0.806 0.806 0.000
Si1 0.280 0.720 0.500
Si2 0.720 0.280 0.500
Pd1 0.000 0.000 0.500
Pd2 0.000 0.500 0.249
Pd3 0.000 0.500 0.751
Pd4 0.500 0.000 0.249
Pd5 0.500 0.000 0.751
Pd6 0.500 0.500 0.245
Pd7 0.500 0.500 0.755

***

[6]
# TbPr2Dy2Tm2

A relaxed structure of TbPr2Dy2Tm2 (PBE-GGA, the Alexandria database).

As for the density of states at the Fermi level: 1.6236 states/eV per atom. The energy of formation from the pure elements is 0.597 eV/f.u.

Unit cell a=6.119 b=6.119 c=11.852 alpha=108.43 beta=108.43 gamma=33.44
Element x y z (fractional)
Tb1 0.000 0.000 0.000
Pr1 0.329 0.329 0.415
Pr2 0.671 0.671 0.585
Dy1 0.451 0.451 0.732
Dy2 0.549 0.549 0.268
Tm1 0.227 0.227 0.866
Tm2 0.773 0.773 0.134